Version w
The following is a DFT calculation (PBEsol) of a relaxed KMg2Ni crystal.

Cell: 3.4581 3.4581 8.1928 Å, 90.00 90.00 90.00°
Positions (direct):
K (0.5000, 0.5000, 0.7098)
Mg (0.0000, 0.0000, 0.0807)
Mg (0.5000, 0.5000, 0.3116)
Ni (0.0000, 0.0000, 0.3979)

=====

Version x
The following is a DFT calculation (PBEsol) of a relaxed KMg2Ni crystal.

Cell: 3.2830 3.2830 10.2266 Å, 80.76 80.76 60.00°
Positions (direct):
K (0.0000, 0.0000, 0.0000)
Mg (0.2244, 0.2244, 0.3269)
Mg (0.7756, 0.7756, 0.6731)
Ni (0.5000, 0.5000, 0.5000)

=====

It turns out version w is the most stable, with the second structure 78 meV/atom higher.

=====

Version w
The following is a DFT calculation (PBEsol) of a relaxed K2MgP crystal.

Cell: 4.5064 4.5064 11.9462 Å, 100.87 100.87 90.00°
Positions (direct):
P (0.2500, 0.7500, 0.5000)
P (0.0000, 0.0000, 0.0000)
K (0.3516, 0.8750, 0.2500)
K (0.8984, 0.3750, 0.2500)
K (0.1250, 0.1016, 0.7500)
K (0.6250, 0.6484, 0.7500)
Mg (0.7500, 0.2500, 0.5000)
Mg (0.5000, 0.5000, 0.0000)

=====

Version x
The following is a DFT calculation (PBEsol) of a relaxed K2MgP crystal.

Cell: 5.3844 5.3844 5.3844 Å, 60.00 60.00 60.00°
Positions (direct):
K (0.0000, 0.0000, 0.0000)
K (0.7500, 0.7500, 0.7500)
Mg (0.5000, 0.5000, 0.5000)
P (0.2500, 0.2500, 0.2500)

=====

It turns out version x is the most stable, with the second structure 237 meV/atom higher.

=====

Version w
The following is a DFT calculation (PBEsol) of a relaxed K2MgRe crystal.

Cell: 2.8470 5.3207 6.0755 Å, 90.00 90.00 90.00°
Positions (direct):
K (0.0000, 0.0000, 0.0000)
K (0.5000, 0.5000, 0.0000)
Mg (0.5000, 0.0000, 0.5000)
Re (0.0000, 0.5000, 0.5000)

=====

Version x
The following is a DFT calculation (PBEsol) of a relaxed K2MgRe crystal.

Cell: 2.7580 4.8437 10.4573 Å, 103.39 97.58 90.00°
Positions (direct):
K (0.8514, 0.8514, 0.7027)
K (0.1486, 0.1486, 0.2973)
Mg (0.0000, 0.5000, 0.0000)
Re (0.5000, 0.0000, 0.0000)

=====

Version y
The following is a DFT calculation (PBEsol) of a relaxed K2MgRe crystal.

Cell: 2.7561 6.4002 7.6129 Å, 114.86 100.43 90.00°
Positions (direct):
K (0.0420, 0.0420, 0.0840)
K (0.2366, 0.7366, 0.4733)
Mg (0.4463, 0.4463, 0.8926)
Re (0.7751, 0.2751, 0.5502)

=====

It turns out version x is the most stable, with the second structure 173 meV/atom higher.

=====

Version w
The following is a DFT calculation (PBEsol) of a relaxed K2MgSb crystal.

Cell: 5.0693 5.0709 6.2336 Å, 114.00 113.99 90.00°
Positions (direct):
K (0.2502, 0.2502, 0.5004)
K (0.7498, 0.7498, 0.4996)
Mg (0.0000, 0.5000, 0.0000)
Sb (0.5000, 0.0000, 0.0000)

=====

Version x
The following is a DFT calculation (PBEsol) of a relaxed K2MgSb crystal.

Cell: 5.6922 5.6922 5.6922 Å, 60.00 60.00 60.00°
Positions (direct):
K (0.0000, 0.0000, 0.0000)
K (0.7500, 0.7500, 0.7500)
Mg (0.5000, 0.5000, 0.5000)
Sb (0.2500, 0.2500, 0.2500)

=====

It turns out version x is the most stable, with the second structure 24 meV/atom higher.

=====

Version w
The following is a DFT calculation (PBEsol) of a relaxed KMgSi crystal.

Cell: 3.9775 4.8288 4.8288 Å, 120.00 90.00 90.00°
Positions (direct):
Mg (0.0000, 0.3333, 0.6667)
K (0.5000, 0.0000, 0.0000)
Si (0.0000, 0.6667, 0.3333)

=====

Version x
The following is a DFT calculation (PBEsol) of a relaxed KMgSi crystal.

Cell: 3.7040 3.7040 6.6518 Å, 106.17 106.17 90.00°
Positions (direct):
Mg (0.7232, 0.7232, 0.4464)
K (0.9913, 0.9913, 0.9825)
Si (0.2856, 0.2856, 0.5711)

=====

It turns out version w is the most stable, with the second structure 9 meV/atom higher.

=====

Version w
The following is a DFT calculation (PBEsol) of a relaxed KMn2Mo crystal.

Cell: 2.6736 2.6736 9.3690 Å, 90.00 90.00 90.00°
Positions (direct):
K (0.5000, 0.5000, 0.7652)
Mn (0.0000, 0.0000, 0.0807)
Mn (0.5000, 0.5000, 0.2250)
Mo (0.0000, 0.0000, 0.4291)

=====

Version x
The following is a DFT calculation (PBEsol) of a relaxed KMn2Mo crystal.

Cell: 2.7849 3.8145 7.3893 Å, 90.00 90.00 90.00°
Positions (direct):
K (0.5000, 0.5000, 0.5000)
Mn (0.0000, 0.0000, 0.8671)
Mn (0.0000, 0.0000, 0.1329)
Mo (0.5000, 0.5000, 0.0000)

=====

Version y
The following is a DFT calculation (PBEsol) of a relaxed KMn2Mo crystal.

Cell: 4.1194 4.8198 4.8198 Å, 64.80 64.70 64.70°
Positions (direct):
K (0.0000, 0.5000, 0.5000)
Mn (0.2082, 0.7918, 0.7918)
Mn (0.7918, 0.2082, 0.2082)
Mo (0.5000, 0.0000, 0.0000)

=====

It turns out version w is the most stable, with the second structure 62 meV/atom higher.

=====

Version w
The following is a DFT calculation (PBEsol) of a relaxed KMnNi2 crystal.

Cell: 2.7207 4.6999 4.6999 Å, 90.00 90.00 90.00°
Positions (direct):
K (0.5000, 0.5000, 0.5000)
Mn (0.5000, 0.0000, 0.0000)
Ni (0.0000, 0.0000, 0.5000)
Ni (0.0000, 0.5000, 0.0000)

=====

Version x
The following is a DFT calculation (PBEsol) of a relaxed KMnNi2 crystal.

Cell: 2.6906 5.2555 5.5569 Å, 118.22 104.01 90.00°
Positions (direct):
K (0.5000, 0.0000, 0.0000)
Mn (0.0000, 0.5000, 0.0000)
Ni (0.7054, 0.7054, 0.4109)
Ni (0.2946, 0.2946, 0.5891)

=====

Version y
The following is a DFT calculation (PBEsol) of a relaxed KMnNi2 crystal.

Cell: 4.4374 4.4374 4.4374 Å, 60.00 60.00 60.00°
Positions (direct):
K (0.5000, 0.5000, 0.5000)
Mn (0.0000, 0.0000, 0.0000)
Ni (0.7500, 0.7500, 0.7500)
Ni (0.2500, 0.2500, 0.2500)

=====

It turns out version x is the most stable, with the second structure 29 meV/atom higher.

=====

Version w
The following is a DFT calculation (PBEsol) of a relaxed K2MnNi crystal.

Cell: 4.1854 4.1698 5.3482 Å, 90.00 90.00 90.00°
Positions (direct):
K (0.0000, 0.0000, 0.0000)
K (0.5000, 0.5000, 0.0000)
Mn (0.5000, 0.0000, 0.5000)
Ni (0.0000, 0.5000, 0.5000)

=====

Version x
The following is a DFT calculation (PBEsol) of a relaxed K2MnNi crystal.

Cell: 3.5780 5.0142 5.6484 Å, 90.00 90.00 90.00°
Positions (direct):
K (0.0000, 0.0000, 0.7424)
K (0.0000, 0.0000, 0.2576)
Mn (0.5000, 0.5000, 0.0000)
Ni (0.5000, 0.5000, 0.5000)

=====

Version y
The following is a DFT calculation (PBEsol) of a relaxed K2MnNi crystal.

Cell: 3.3756 5.7572 6.7998 Å, 115.05 104.37 90.00°
Positions (direct):
K (0.0400, 0.0400, 0.0800)
K (0.2370, 0.7370, 0.4740)
Mn (0.4255, 0.4255, 0.8510)
Ni (0.7975, 0.2975, 0.5950)

=====

Version z
The following is a DFT calculation (PBEsol) of a relaxed K2MnNi crystal.

Cell: 3.1975 3.5657 10.2930 Å, 90.00 106.05 90.00°
Positions (direct):
K (0.9809, 0.0000, 0.9151)
K (0.8384, 0.5000, 0.3328)
Mn (0.5686, 0.0000, 0.6038)
Ni (0.1122, 0.5000, 0.6482)

=====

It turns out version z is the most stable, with the second structure 170 meV/atom higher.

=====

Version w
The following is a DFT calculation (PBEsol) of a relaxed KMnPb2 crystal.

Cell: 5.2755 5.2755 5.2755 Å, 60.00 60.00 60.00°
Positions (direct):
K (0.0000, 0.0000, 0.0000)
Mn (0.5000, 0.5000, 0.5000)
Pb (0.2500, 0.2500, 0.2500)
Pb (0.7500, 0.7500, 0.7500)

=====

Version x
The following is a DFT calculation (PBEsol) of a relaxed KMnPb2 crystal.

Cell: 3.3626 3.3635 9.0944 Å, 90.00 90.01 90.00°
Positions (direct):
K (0.5000, 0.5000, 0.0000)
Mn (0.5000, 0.5000, 0.5000)
Pb (0.0004, 0.0000, 0.6964)
Pb (0.9996, 0.0000, 0.3036)

=====

Version y
The following is a DFT calculation (PBEsol) of a relaxed KMnPb2 crystal.

Cell: 3.4205 4.4042 7.6533 Å, 90.00 90.00 90.00°
Positions (direct):
K (0.0000, 0.5000, 0.4866)
Mn (0.5000, 0.5000, 0.9695)
Pb (0.0000, 0.0000, 0.8449)
Pb (0.5000, 0.0000, 0.1990)

=====

It turns out version x is the most stable, with the second structure 82 meV/atom higher.

=====

Version w
The following is a DFT calculation (PBEsol) of a relaxed KMnPt crystal.

Cell: 4.6864 4.6864 4.6864 Å, 60.00 60.00 60.00°
Positions (direct):
K (0.7500, 0.7500, 0.7500)
Mn (0.0000, 0.0000, 0.0000)
Pt (0.5000, 0.5000, 0.5000)

=====

Version x
The following is a DFT calculation (PBEsol) of a relaxed KMnPt crystal.

Cell: 3.4501 3.4501 6.4287 Å, 105.57 105.57 90.00°
Positions (direct):
K (0.0044, 0.0044, 0.0089)
Mn (0.2717, 0.2717, 0.5435)
Pt (0.7238, 0.7238, 0.4477)

=====

It turns out version x is the most stable, with the second structure 1229 meV/atom higher.

=====

Version w
The following is a DFT calculation (PBEsol) of a relaxed K2MnRe crystal.

Cell: 3.7228 3.7228 5.7801 Å, 90.00 90.00 90.00°
Positions (direct):
K (0.0000, 0.5000, 0.0000)
K (0.5000, 0.0000, 0.0000)
Mn (0.5000, 0.5000, 0.5000)
Re (0.0000, 0.0000, 0.5000)

=====

Version x
The following is a DFT calculation (PBEsol) of a relaxed K2MnRe crystal.

Cell: 3.1861 3.1861 10.4256 Å, 90.00 90.00 90.00°
Positions (direct):
K (0.0000, 0.0000, 0.9205)
K (0.5000, 0.5000, 0.3314)
Mn (0.0000, 0.0000, 0.5830)
Re (0.5000, 0.5000, 0.6652)

=====

It turns out version x is the most stable, with the second structure 709 meV/atom higher.

=====

Version w
The following is a DFT calculation (PBEsol) of a relaxed K2MnRh crystal.

Cell: 2.8980 2.8980 11.0950 Å, 90.00 90.00 90.00°
Positions (direct):
K (0.0000, 0.0000, 0.7197)
K (0.0000, 0.0000, 0.2803)
Mn (0.5000, 0.5000, 0.0000)
Rh (0.5000, 0.5000, 0.5000)

=====

Version x
The following is a DFT calculation (PBEsol) of a relaxed K2MnRh crystal.

Cell: 5.0454 5.0454 5.0454 Å, 60.00 60.00 60.00°
Positions (direct):
K (0.0000, 0.0000, 0.0000)
K (0.7500, 0.7500, 0.7500)
Mn (0.5000, 0.5000, 0.5000)
Rh (0.2500, 0.2500, 0.2500)

=====

Version y
The following is a DFT calculation (PBEsol) of a relaxed K2MnRh crystal.

Cell: 3.0185 5.5302 6.0225 Å, 117.33 90.00 90.00°
Positions (direct):
K (0.0000, 0.0000, 0.5000)
K (0.0000, 0.5000, 0.5000)
Mn (0.5000, 0.0000, 0.0000)
Rh (0.5000, 0.5000, 0.0000)

=====

It turns out version x is the most stable, with the second structure 118 meV/atom higher.